1.
Density functional theory data (PBE) for a relaxed structure of Mg2TeAs.

Lattice parameters (Å, degrees): 3.3456 4.0147 14.6531 90.00 90.00 90.00
Closest atoms and distances in Å follow each position.
Element x y z (fractional)
Mg 0.0000 0.0000 0.0000  4 As 2.79
Mg 0.0000 0.5000 0.2148  2 As 2.73
Mg 0.5000 0.0000 0.7148  2 As 2.73
Mg 0.5000 0.5000 0.5000  4 As 2.79
Te 0.0000 0.5000 0.8240  6 Mg 3.06-3.27, 2 Te 3.35
Te 0.5000 0.0000 0.3240  6 Mg 3.06-3.27, 2 Te 3.35
As 0.0000 0.0000 0.5671  6 Mg 2.73-2.79
As 0.5000 0.5000 0.0671  6 Mg 2.73-2.79

Computed properties:
Distance to the lowest polymorph of the same formula (eV/atom): 0.097
Symmetry: Imm2, No. 44
M_tot (μB per formula unit): 0.00



2.
Density functional theory data (PBE) for a relaxed structure of BaAlP2.

Lattice parameters (Å, degrees): 3.7749 4.7437 5.9367 90.00 90.00 90.00
Closest atoms and distances in Å follow each position.
Element x y z (fractional)
Ba 0.0000 0.0000 0.0000  8 P 3.35
Al 0.0000 0.5000 0.5000  4 P 2.44
P 0.5000 0.5000 0.2395  2 Al 2.44
P 0.5000 0.5000 0.7605  2 Al 2.44

Computed properties:
Symmetry: Pmmm, No. 47
M_tot (μB per formula unit): 0.00
ΔH_f (0 K) (kcal/mol of atoms): -11.37



3.
Density functional theory data (PBE) for a relaxed structure of Na2BeHg.

Lattice parameters (Å, degrees): 10.2585 10.2585 4.5940 90.00 90.00 90.00
Closest atoms and distances in Å follow each position.
Element x y z (fractional)
Na 0.1009 0.7500 0.1250  2 Be 2.82
Na 0.2500 0.1009 0.8750  2 Be 2.82
Na 0.2500 0.3991 0.3750  2 Be 2.82
Na 0.3991 0.7500 0.6250  2 Be 2.82
Na 0.6009 0.2500 0.6250  2 Be 2.82
Na 0.7500 0.6009 0.3750  2 Be 2.82
Na 0.7500 0.8991 0.8750  2 Be 2.82
Na 0.8991 0.2500 0.1250  2 Be 2.82
Be 0.0000 0.0000 0.0000  2 Hg 2.30
Be 0.0000 0.5000 0.2500  2 Hg 2.30
Be 0.5000 0.0000 0.7500  2 Hg 2.30
Be 0.5000 0.5000 0.5000  2 Hg 2.30
Hg 0.0000 0.0000 0.5000  2 Be 2.30
Hg 0.0000 0.5000 0.7500  2 Be 2.30
Hg 0.5000 0.0000 0.2500  2 Be 2.30
Hg 0.5000 0.5000 0.0000  2 Be 2.30

Computed properties:
Distance to the lowest polymorph of the same formula (eV/atom): 0.000
Symmetry: I-42d, No. 122
M_tot (μB per formula unit): 0.00
ΔH_f (0 K) (kcal/mol of atoms): 7.10